(1)
# CuTe2W

An optimized crystal structure of CuTe2W (PBE-GGA, Alexandria).

Computed properties:
As for the formation energy from raw total energies: 0.325 eV per atom. The mass density comes out at 8.41 g/cm3. The calculation puts the magnetization at 1.0 μB/f.u.

```
4
Lattice="4.301 -0.034 -0.030 2.821 3.246 -0.030 1.592 0.718 7.042" Properties=species:S:1:pos:R:3 pbc="T T T"
Cu 2.182 0.984 1.956
Te 7.190 3.243 0.874
Te 6.526 2.943 4.556
W 4.294 1.937 3.025
```


(2)
# SrTh4Tl5

An optimized crystal structure of SrTh4Tl5 (PBE-GGA, Alexandria).

Computed properties:
The formation energy from the elements is -0.14 eV/atom. The mass density comes out at 11.03 g/cm3. The calculation puts the magnetization at 0.0 μB/f.u.

```
10
Lattice="-4.075 -0.681 0.504 0.810 -2.412 3.294 -1.049 14.143 10.616" Properties=species:S:1:pos:R:3 pbc="T T T"
Sr 0.000 0.000 0.000
Th -0.227 3.066 2.302
Th -0.425 5.728 4.299
Th -0.624 8.416 6.317
Th -0.821 11.077 8.314
Tl -1.753 0.077 3.117
Tl -1.957 2.831 5.184
Tl -2.157 5.525 7.207
Tl -2.356 8.220 9.229
Tl -2.561 10.974 11.296
```


(3)
# ZnCrMoIr

An optimized crystal structure of ZnCrMoIr (PBE-GGA, Alexandria).

Computed properties:
The formation energy from the elements is 0.04 eV/atom. The mass density comes out at 11.85 g/cm3. The calculation puts the magnetization at 1.0 μB/f.u.

```
4
Lattice="4.316 0.000 0.000 2.158 3.738 0.000 2.158 1.246 3.524" Properties=species:S:1:pos:R:3 pbc="T T T"
Cr 4.316 2.492 1.762
Mo 2.158 1.246 0.881
Ir 0.000 0.000 0.000
Zn 6.474 3.738 2.643
```